Entry from the Alexandria database: Zn6AgPd2 after structural relaxation (PBE).

a b c (Å): 2.815 6.342 8.318
angles (deg): 76.79 80.26 77.18
Fractional positions:
Zn 0.031 0.672 0.266
Zn 0.754 0.373 0.118
Pd 0.330 0.034 0.306
Zn 0.377 0.695 0.551
Zn 0.969 0.328 0.734
Ag 0.000 0.000 0.000
Zn 0.623 0.305 0.449
Pd 0.670 0.966 0.694
Zn 0.246 0.627 0.882

- Space group: C2/m, No. 12
- Calculated formation energy: -18.8 kJ per mole of atoms
- Fermi-level density of states: 2.13 states/eV/f.u.